[1]
Pm2Al2Cd3: relaxed, PBE.

a = 4.494 Å, b = 21.524 Å, c = 3.519 Å
α = 90.00°, β = 90.00°, γ = 90.00°
Space group Cmmm (No. 65)
Inequivalent atoms, fractional coordinates:
Pm (0.000, 0.159, 0.000) x4
Al (0.000, 0.282, 0.500) x4
Cd (0.000, 0.000, 0.000) x2
Cd (0.000, 0.429, 0.500) x4

Properties
volume	24.3	Å³ per atom
formation energy from the elements	-2.04	eV/f.u.
crystal system	orthorhombic

***

[2]
PmAlCd2: relaxed, PBE.

a = 4.506 Å, b = 17.487 Å, c = 9.734 Å
α = 90.00°, β = 90.00°, γ = 90.00°
Space group Cmcm (No. 63)
Inequivalent atoms, fractional coordinates:
Pm (0.000, 0.000, 0.000) x4
Pm (0.000, 0.195, 0.250) x4
Al (0.000, 0.359, 0.528) x8
Cd (0.000, 0.196, 0.597) x8
Cd (0.000, 0.393, 0.250) x4
Cd (0.000, 0.450, 0.750) x4

Properties
volume	24.0	Å³ per atom
formation energy from the elements	-1.22	eV/f.u.
crystal system	orthorhombic

***

[3]
Pm2Al3Cd: relaxed, PBE.

a = 7.472 Å, b = 9.355 Å, c = 16.133 Å
α = 90.00°, β = 90.00°, γ = 90.00°
Space group Fmmm (No. 69)
Inequivalent atoms, fractional coordinates:
Pm (0.249, 0.000, 0.000) x8
Pm (0.250, 0.250, 0.250) x8
Al (0.000, 0.000, 0.336) x8
Al (0.000, 0.246, 0.418) x16
Cd (0.000, 0.000, 0.167) x8

Properties
volume	23.5	Å³ per atom
formation energy from the elements	-2.62	eV/f.u.
crystal system	orthorhombic

***

[4]
Pm4AlCd3: relaxed, PBE.

a = 3.642 Å, b = 4.891 Å, c = 12.425 Å
α = 90.00°, β = 90.00°, γ = 90.00°
Space group Pmm2 (No. 25)
Inequivalent atoms, fractional coordinates:
Pm (0.000, 0.000, 0.000) x1
Pm (0.000, 0.500, 0.311) x1
Pm (0.500, 0.000, 0.489) x1
Pm (0.500, 0.500, 0.816) x1
Al (0.500, 0.000, 0.225) x1
Cd (0.000, 0.000, 0.724) x1
Cd (0.000, 0.500, 0.584) x1
Cd (0.500, 0.500, 0.089) x1

Properties
volume	27.7	Å³ per atom
formation energy from the elements	-2.24	eV/f.u.
crystal system	orthorhombic

***

[5]
Pm4AlCd3: relaxed, PBE.

a = 3.757 Å, b = 3.757 Å, c = 15.552 Å
α = 90.00°, β = 90.00°, γ = 90.00°
Space group P4/mmm (No. 123)
Inequivalent atoms, fractional coordinates:
Pm (0.000, 0.000, 0.116) x2
Pm (0.000, 0.000, 0.372) x2
Al (0.500, 0.500, 0.000) x1
Cd (0.500, 0.500, 0.245) x2
Cd (0.500, 0.500, 0.500) x1

Properties
volume	27.4	Å³ per atom
formation energy from the elements	-2.64	eV/f.u.
crystal system	tetragonal

***

[6]
Pm8AlCd2: relaxed, PBE.

a = 16.586 Å, b = 5.435 Å, c = 8.713 Å
α = 90.00°, β = 121.06°, γ = 90.00°
Space group C2/m (No. 12)
Inequivalent atoms, fractional coordinates:
Pm (0.070, 0.000, 0.220) x4
Pm (0.090, 0.500, 0.941) x4
Pm (0.132, 0.000, 0.681) x4
Pm (0.179, 0.500, 0.450) x4
Al (0.000, 0.500, 0.500) x2
Cd (0.228, 0.000, 0.116) x4

Properties
volume	30.6	Å³ per atom
formation energy from the elements	-1.77	eV/f.u.
crystal system	monoclinic

***

[7]
PmAl2Cd: relaxed, PBE.

a = 7.063 Å, b = 7.063 Å, c = 7.063 Å
α = 90.00°, β = 90.00°, γ = 90.00°
Space group Fm-3m (No. 225)
Inequivalent atoms, fractional coordinates:
Pm (0.000, 0.000, 0.000) x4
Al (0.250, 0.250, 0.250) x8
Cd (0.000, 0.000, 0.500) x4

Properties
volume	22.0	Å³ per atom
formation energy from the elements	-0.45	eV/f.u.
crystal system	cubic

***

[8]
Pm2AlCd3: relaxed, PBE.

a = 3.992 Å, b = 4.595 Å, c = 17.470 Å
α = 90.00°, β = 90.00°, γ = 90.00°
Space group Imm2 (No. 44)
Inequivalent atoms, fractional coordinates:
Pm (0.000, 0.000, 0.000) x2
Pm (0.000, 0.500, 0.230) x2
Al (0.000, 0.000, 0.576) x2
Cd (0.000, 0.000, 0.422) x2
Cd (0.000, 0.500, 0.653) x2
Cd (0.000, 0.500, 0.814) x2

Properties
volume	26.7	Å³ per atom
formation energy from the elements	-1.43	eV/f.u.
crystal system	orthorhombic

***

[9]
PmAlCd: relaxed, PBE.

a = 4.7828 Å, b = 4.7828 Å, c = 3.6712 Å
α = 90.00°, β = 90.00°, γ = 120.00°
Space group P-6m2 (No. 187)
Inequivalent atoms, fractional coordinates:
Pm (0.0000, 0.0000, 0.0000) x1
Al (0.3333, 0.6667, 0.5000) x1
Cd (0.6667, 0.3333, 0.5000) x1

Properties
volume	24.2	Å³ per atom
formation energy from the elements	-1.17	eV/f.u.
crystal system	hexagonal

***

[10]
PmAlCd2: relaxed, PBE.

a = 4.451 Å, b = 4.451 Å, c = 4.802 Å
α = 90.00°, β = 90.00°, γ = 90.00°
Space group P4/mmm (No. 123)
Inequivalent atoms, fractional coordinates:
Pm (0.000, 0.000, 0.000) x1
Al (0.500, 0.500, 0.000) x1
Cd (0.000, 0.500, 0.500) x2

Properties
volume	23.8	Å³ per atom
formation energy from the elements	-1.08	eV/f.u.
crystal system	tetragonal

***

[11]
Pm4Al3Cd: relaxed, PBE.

a = 3.771 Å, b = 4.654 Å, c = 12.189 Å
α = 90.00°, β = 90.00°, γ = 90.00°
Space group Pmm2 (No. 25)
Inequivalent atoms, fractional coordinates:
Pm (0.000, 0.000, 0.000) x1
Pm (0.000, 0.500, 0.305) x1
Pm (0.500, 0.000, 0.492) x1
Pm (0.500, 0.500, 0.811) x1
Al (0.000, 0.500, 0.582) x1
Al (0.500, 0.000, 0.217) x1
Al (0.500, 0.500, 0.087) x1
Cd (0.000, 0.000, 0.716) x1

Properties
volume	26.7	Å³ per atom
formation energy from the elements	-2.54	eV/f.u.
crystal system	orthorhombic

***

[12]
Pm5Al4Cd: relaxed, PBE.

a = 3.699 Å, b = 3.699 Å, c = 18.929 Å
α = 90.00°, β = 90.00°, γ = 90.00°
Space group P4/mmm (No. 123)
Inequivalent atoms, fractional coordinates:
Pm (0.000, 0.000, 0.000) x1
Pm (0.000, 0.000, 0.195) x2
Pm (0.000, 0.000, 0.391) x2
Al (0.500, 0.500, 0.097) x2
Al (0.500, 0.500, 0.294) x2
Cd (0.500, 0.500, 0.500) x1

Properties
volume	25.9	Å³ per atom
formation energy from the elements	-3.60	eV/f.u.
crystal system	tetragonal